Entry 1:
A plane-wave DFT calculation with PBE was carried out for a geometry-optimized Zr5Ag structure.

The value obtained for the formation energy is 337 meV/atom. The calculation puts the final energy at -7.26 eV/atom. For the relative energy among the computed polymorphs, the calculation gives 363.9 meV/atom. As for the total magnetic moment: 0.00 μB/f.u. As for the space group: F-43m (216). Its volume is 22.99 Å³ per atom.

```
Zr5Ag
1.0
0.000 4.101 4.101
4.101 0.000 4.101
4.101 4.101 0.000
Zr Ag
5 1
Direct
0.869 0.377 0.377
0.750 0.750 0.750
0.377 0.869 0.377
0.377 0.377 0.377
0.377 0.377 0.869
0.000 0.000 0.000
```

Entry 2:
A plane-wave DFT calculation with PBE was carried out for a geometry-optimized AlAg2SnS4 structure.

For the formation energy (no corrections), the calculation gives -0.45 eV per atom. The calculation puts the final energy at -4.19 eV/atom. As for the total magnetic moment: 0.00 μB/f.u. As for the space group: I-4 (82). Its volume is 24.31 Å³ per atom.

```
AlAg2SnS4
1.0
5.856 0.001 -0.004
0.000 5.858 -0.004
-2.926 -2.928 5.673
Al Ag Sn S
1 2 1 4
Direct
0.986 0.486 0.972
0.486 0.986 0.972
0.236 0.236 0.472
0.736 0.736 0.472
0.640 0.595 0.745
0.877 0.367 0.199
0.322 0.832 0.199
0.105 0.150 0.745
```

Entry 3:
A plane-wave DFT calculation with PBE was carried out for a geometry-optimized EuSn2As structure.

The value obtained for the formation energy is 22 meV/atom. The calculation puts the final energy at -5.71 eV/atom. For the relative energy among the computed polymorphs, the calculation gives 506.3 meV/atom. As for the total magnetic moment: 7.65 μB/f.u. As for the space group: R-3m (166). Its volume is 32.30 Å³ per atom.

```
EuSn2As
1.0
3.846 0.000 0.000
1.923 3.331 0.000
1.923 1.110 10.086
Eu As Sn
1 1 2
Direct
0.000 0.000 0.000
0.500 0.500 0.500
0.108 0.108 0.676
0.892 0.892 0.324
```

Entry 4:
A plane-wave DFT calculation with PBE was carried out for a geometry-optimized CdSi2Se structure.

For the formation energy (no corrections), the calculation gives 0.53 eV per atom. The calculation puts the final energy at -3.29 eV/atom. For the relative energy among the computed polymorphs, the calculation gives 494.5 meV/atom. As for the total magnetic moment: 0.00 μB/f.u. As for the space group: I-4m2 (119). Its volume is 20.19 Å³ per atom.

```
CdSi2Se
1.0
-3.648 -4.563 1.084
-1.451 -4.158 -3.989
4.710 2.826 2.266
Cd Se Si
1 1 2
Direct
0.500 0.500 0.000
0.750 0.250 0.500
0.000 0.000 0.000
0.250 0.750 0.500
```

Number 1: D(E_F) 9.18 states/eV/f.u.. Number 2: D(E_F) 5.05 states/eV/f.u.. Number 3: D(E_F) 2.54 states/eV/f.u.. Number 4: D(E_F) 1.32 states/eV/f.u..